A relaxed Tl6AuS8 crystal. Source: the Alexandria database, functional GGA-PBE.

Summary:
raw formation energy	0.0100	eV/atom
final energy	-3.3563	eV per atom

Lattice parameters (Å, degrees): 7.928 7.928 7.928 99.80 99.80 99.80
Fractional positions:
Tl 0.655 0.462 0.853
Tl 0.462 0.853 0.655
Tl 0.853 0.655 0.462
Tl 0.345 0.538 0.147
Tl 0.538 0.147 0.345
Tl 0.147 0.345 0.538
Au 0.000 0.000 0.000
S 0.797 0.797 0.797
S 0.203 0.203 0.203
S 0.603 0.831 0.341
S 0.831 0.341 0.603
S 0.341 0.603 0.831
S 0.397 0.169 0.659
S 0.169 0.659 0.397
S 0.659 0.397 0.169